Record 1
GGA-PBE NaNiAs2, optimized geometry; calculated total energy = -4.400 eV per atom; ΔE_f = -0.300 eV per atom; offset from the most stable computed form = 0 meV per atom; calculated volume = 79 Å³ per cell
1.0
1.885 1.088 6.392
-1.885 1.088 6.392
0.000 -2.176 6.392
Na Ni As
1 1 2
Direct
0.000 0.000 0.000
0.168 0.168 0.168
0.554 0.554 0.554
0.781 0.781 0.781


Record 2
GGA-PBE FeTe2Os, optimized geometry; calculated total energy = -5.896 eV per atom; formation energy without anion corrections = 598 meV per atom; offset from the most stable computed form = 439 meV per atom; calculated volume = 77 Å³ per cell
1.0
3.961 -1.665 0.000
3.961 1.665 0.000
-1.417 0.000 5.803
Fe Te Os
1 2 1
Direct
0.000 0.000 0.000
0.251 0.251 0.751
0.749 0.749 0.249
0.500 0.500 0.500


Record 3
GGA-PBE NaGd2In, optimized geometry; calculated total energy = -8.169 eV per atom; ΔE_f = -0.114 eV per atom; offset from the most stable computed form = 45 meV per atom; calculated volume = 123 Å³ per cell
1.0
3.511 0.000 0.000
0.000 3.511 0.000
0.000 0.000 9.987
Na Gd In
1 2 1
Direct
0.000 0.000 0.000
0.500 0.500 0.287
0.500 0.500 0.713
0.000 0.000 0.500


Record 4
GGA-PBE CaZnCu2, optimized geometry; calculated total energy = -2.875 eV per atom; ΔE_f = -0.008 eV per atom; calculated volume = 74 Å³ per cell
1.0
3.396 0.000 0.000
0.000 4.080 0.000
-1.666 0.000 5.343
Ca Zn Cu
1 1 2
Direct
0.000 0.000 0.000
0.302 0.500 0.608
0.617 0.500 0.237
0.734 0.000 0.478


Record 5
GGA-PBE Dy7ErTm4, optimized geometry; calculated total energy = -4.482 eV per atom; ΔE_f = 0.073 eV per atom; offset from the most stable computed form = 75 meV per atom; calculated volume = 368 Å³ per cell
1.0
5.546 0.000 0.000
-2.773 4.803 0.000
0.000 0.000 13.799
Dy Er Tm
7 1 4
Direct
0.000 0.000 0.000
0.000 0.000 0.250
0.000 0.000 0.750
0.333 0.667 0.126
0.333 0.667 0.375
0.667 0.333 0.625
0.667 0.333 0.874
0.000 0.000 0.500
0.333 0.667 0.624
0.333 0.667 0.876
0.667 0.333 0.124
0.667 0.333 0.376


Record 6
GGA-PBE NdDy4Er2, optimized geometry; calculated total energy = -4.486 eV per atom; ΔE_f = 0.128 eV per atom; offset from the most stable computed form = 95 meV per atom; calculated volume = 445 Å³ per cell
1.0
6.139 0.000 0.000
0.000 6.525 0.000
-2.831 0.000 11.113
Nd Dy Er
2 8 4
Direct
0.040 0.250 0.361
0.960 0.750 0.639
0.152 0.250 0.663
0.290 0.750 0.926
0.350 0.508 0.212
0.350 0.992 0.212
0.650 0.008 0.788
0.650 0.492 0.788
0.710 0.250 0.074
0.848 0.750 0.337
0.148 0.250 0.949
0.394 0.750 0.505
0.606 0.250 0.495
0.852 0.750 0.051